This record from Alexandria via LeMat-Bulk describes a geometry-optimized BeCo2Re structure. The functional is GGA-PBE.

a b c (Å): 3.7855 2.5562 4.7879
angles (deg): 74.47 90.00 90.00
Closest atoms and distances in Å follow each position.
Positions (direct):
Co1 0.0000 0.8190 0.9867  2 Be 2.17, 1 Re 2.42
Co2 0.5000 0.1905 0.2444  3 Be 2.37-2.58, 6 Co 2.56-2.58, 4 Re 2.59
Re1 0.0000 0.5574 0.5109  7 Co 2.42-2.59, 4 Be 2.55, 2 Re 2.56
Be1 0.5000 0.9332 0.7581  3 Co 2.17-2.37

Values from the calculation:
- total DFT energy (no corrections) (eV/atom) = -7.55
- crystal system = orthorhombic
- formation energy (eV per formula unit) = 0.2
- ρ (g/cm³) = 11.65